Compound: AlCrNi2
Source: Alexandria via LeMat-Bulk
Functional: PBE-GGA
Structure: relaxed

```
AlCrNi2
1.0
3.481 0.000 0.000
0.000 2.583 -0.009
0.000 2.613 5.268
Cr Ni Al
1 2 1
Cartesian
1.741 3.897 3.944
0.000 2.612 5.239
0.000 2.599 2.658
1.741 1.299 1.315
```

* magnetization: 1.78 μB per formula unit
* energy relative to the elements: -192 meV per atom
* electronic total energy: -6.425 eV/atom
* V: 47 Å³ per cell

Compound: Al4CrNi
Source: Alexandria via LeMat-Bulk
Functional: PBE-GGA
Structure: relaxed

```
Al4CrNi
1.0
1.406 -4.052 2.674
0.360 0.294 5.033
-3.362 -2.393 2.918
Al Cr Ni
4 1 1
Cartesian
-1.177 -3.988 4.128
-0.997 -3.842 6.636
-1.698 -1.822 5.304
0.678 -2.649 5.182
-0.399 -1.538 2.656
0.000 0.000 0.000
```

* magnetization: 3.41 μB per formula unit
* energy relative to the elements: 215 meV per atom
* electronic total energy: -4.847 eV/atom
* V: 91 Å³ per cell

Compound: Al2Cr2Ni
Source: Alexandria via LeMat-Bulk
Functional: PBE-GGA
Structure: relaxed

```
Al2Cr2Ni
1.0
-6.475 1.272 1.016
-0.379 -5.231 4.131
0.725 1.809 2.357
Cr Al Ni
4 4 2
Cartesian
-3.943 0.228 1.038
-0.817 -1.946 1.745
-2.910 -4.187 4.109
-6.036 -2.013 3.402
-1.153 -2.477 4.240
-1.695 0.282 2.289
-4.975 0.327 3.264
-4.433 -2.432 5.215
-3.427 -1.979 2.574
0.000 0.000 0.000
```

* magnetization: 0.00 μB per formula unit
* energy relative to the elements: 163 meV per atom
* electronic total energy: -6.339 eV/atom
* V: 136 Å³ per cell
* relative energy among the computed polymorphs: 35 meV per atom

Compound: AlCr2Ni
Source: Alexandria via LeMat-Bulk
Functional: PBE-GGA
Structure: relaxed

```
AlCr2Ni
1.0
-3.389 -1.751 1.394
1.321 -1.125 1.799
0.142 2.946 4.047
Cr Al Ni
2 1 1
Cartesian
0.014 -0.007 0.025
0.718 0.918 2.898
-0.597 0.490 5.082
-1.328 -0.420 2.158
```

* magnetization: 0.00 μB per formula unit
* energy relative to the elements: -39 meV per atom
* electronic total energy: -7.232 eV/atom
* V: 48 Å³ per cell

Compound: Al2CrNi
Source: Alexandria via LeMat-Bulk
Functional: PBE-GGA
Structure: relaxed

```
Al2CrNi
1.0
2.645 0.009 0.000
-0.010 2.645 0.000
0.000 0.000 7.534
Cr Al Ni
1 2 1
Cartesian
0.000 0.000 3.904
0.000 0.000 7.288
1.318 1.327 2.053
1.318 1.327 5.590
```

* magnetization: 0.01 μB per formula unit
* energy relative to the elements: -90 meV per atom
* electronic total energy: -5.812 eV/atom
* V: 53 Å³ per cell

Compound: AlCrNi2
Source: Alexandria via LeMat-Bulk
Functional: PBE-GGA
Structure: relaxed

```
AlCrNi2
1.0
-3.846 1.211 1.485
-2.588 0.099 3.429
1.166 4.121 1.604
Al Ni Cr
1 2 1
Cartesian
-3.952 4.073 4.888
-0.002 0.039 0.024
-2.632 2.677 3.235
-1.317 1.358 1.629
```

* magnetization: 0.93 μB per formula unit
* energy relative to the elements: -123 meV per atom
* electronic total energy: -6.355 eV/atom
* V: 48 Å³ per cell